Density functional theory data (PBE-GGA) for an optimized crystal structure of Ti2CuPb2.

```
Ti2CuPb2
1.0
6.853 0.000 0.000
0.000 6.853 0.000
0.000 0.000 4.401
Ti Cu Pb
4 2 4
Direct
0.141 0.359 0.000
0.359 0.859 0.000
0.641 0.141 0.000
0.859 0.641 0.000
0.000 0.000 0.000
0.500 0.500 0.000
0.172 0.672 0.500
0.328 0.172 0.500
0.672 0.828 0.500
0.828 0.328 0.500
```

Properties
ΔE to the lowest computed polymorph = 0 meV/atom

Density functional theory data (PBE-GGA) for an optimized crystal structure of TiCu2Pb.

```
TiCu2Pb
1.0
4.044 0.000 0.000
0.000 4.044 0.000
0.000 0.000 4.059
Ti Cu Pb
1 2 1
Direct
0.000 0.000 0.000
0.000 0.500 0.500
0.500 0.000 0.500
0.500 0.500 0.000
```

Density functional theory data (PBE-GGA) for an optimized crystal structure of TiCu2Pb.

```
TiCu2Pb
1.0
3.374 0.000 0.000
0.000 3.374 0.000
0.000 0.000 6.107
Ti Cu Pb
1 2 1
Direct
0.000 0.000 0.000
0.500 0.500 0.206
0.500 0.500 0.794
0.000 0.000 0.500
```

Density functional theory data (PBE-GGA) for an optimized crystal structure of Ti2CuPbW.

```
Ti2CuPbW
1.0
4.597 0.000 0.000
0.000 4.597 0.000
0.000 0.000 4.664
Ti Cu Pb W
2 1 1 1
Direct
0.000 0.500 0.000
0.500 0.000 0.000
0.000 0.000 0.000
0.000 0.000 0.500
0.500 0.500 0.500
```

Density functional theory data (PBE-GGA) for an optimized crystal structure of Ti2ZnCuPb.

```
Ti2ZnCuPb
1.0
5.289 0.000 0.000
0.000 5.289 0.000
0.000 0.000 4.813
Ti Zn Cu Pb
2 1 1 1
Direct
0.000 0.500 0.000
0.500 0.000 0.000
0.000 0.000 0.500
0.500 0.500 0.500
0.500 0.500 0.000
```

Density functional theory data (PBE-GGA) for an optimized crystal structure of Tl2CuPb.

```
Tl2CuPb
1.0
1.786 1.031 9.549
-1.786 1.031 9.549
0.000 -2.062 9.549
Tl Cu Pb
2 1 1
Direct
0.234 0.234 0.234
0.766 0.766 0.766
0.500 0.500 0.500
0.000 0.000 0.000
```

Density functional theory data (PBE-GGA) for an optimized crystal structure of TlCu4Pb.

```
TlCu4Pb
1.0
0.000 3.696 3.696
3.696 0.000 3.696
3.696 3.696 0.000
Tl Cu Pb
1 4 1
Direct
0.000 0.000 0.000
0.124 0.625 0.625
0.625 0.124 0.625
0.625 0.625 0.124
0.625 0.625 0.625
0.250 0.250 0.250
```

Density functional theory data (PBE-GGA) for an optimized crystal structure of Tl2CuPb.

```
Tl2CuPb
1.0
2.504 -2.387 0.000
2.504 2.387 0.000
-0.199 0.000 8.744
Tl Cu Pb
2 1 1
Direct
0.000 0.000 0.000
0.504 0.504 0.700
0.006 0.006 0.499
0.500 0.500 0.310
```

Number 1: volume 20.7 A^3/atom, formation energy from the elements 0.9 eV/f.u.. Number 2: volume 16.6 A^3/atom, formation energy from the elements 0.4 eV/f.u.. Number 3: volume 17.4 A^3/atom, formation energy from the elements 0.4 eV/f.u.. Number 4: volume 19.7 A^3/atom, formation energy from the elements 5.9 eV/f.u.. Number 5: volume 26.9 A^3/atom, formation energy from the elements 6.0 eV/f.u.. Number 6: volume 26.4 A^3/atom, formation energy from the elements 0.8 eV/f.u.. Number 7: volume 16.8 A^3/atom, formation energy from the elements 1.2 eV/f.u.. Number 8: volume 26.1 A^3/atom, formation energy from the elements 0.6 eV/f.u..